Entry 1:
A plane-wave DFT calculation with PBE was carried out for Pm4Br3N2 after structural relaxation.

abc: 14.5910 3.5577 8.6788
angles: 90.00 103.55 90.00
With the nearest neighbours (Å) after each atom.
Space group C2/m (No. 12)
Inequivalent atoms, fractional coordinates:
Pm1 0.0948 0.0000 0.2156 [4 per cell]  2 N 2.37
Pm2 0.1838 0.5000 0.5991 [4 per cell]  3 N 2.46-2.51
Br1 0.0000 0.0000 0.5000 [2 per cell]  6 Pm 3.10-3.16
Br2 0.0947 0.5000 0.9045 [4 per cell]  5 Pm 3.21-3.25, 3 Br 3.54-3.56, 1 N 3.55
N1 0.1988 0.5000 0.3172 [4 per cell]  5 Pm 2.37-2.51

Computed properties:
ΔE_f (raw) (eV/f.u.): -12.82
Magnetic moment (μB/atom): 0.00
D(E_F) (states/eV per cell): 5.10
Total energy (eV per atom): -5.94
ΔE to the lowest computed polymorph (meV per atom): 0

Entry 2:
A plane-wave DFT calculation with PBE was carried out for Pm6Br12N after structural relaxation.

abc: 10.3052 10.3052 18.2722
angles: 90.00 90.00 120.00
With the nearest neighbours (Å) after each atom.
Space group R-3m (No. 166, hexagonal axes)
Inequivalent atoms, fractional coordinates:
Pm1 0.0669 0.5334 0.2484 [18 per cell]  1 N 2.81, 5 Br 2.91-3.14
Br1 0.0288 0.5144 0.9039 [18 per cell]  3 Pm 2.91
Br2 0.0793 0.5396 0.5948 [18 per cell]  3 Pm 3.14-3.15, 4 Br 3.34-3.47
N1 0.0000 0.0000 0.5000 [3 per cell]  6 Pm 2.81

Computed properties:
ΔE_f (raw) (eV/f.u.): -28.50
Magnetic moment (μB/atom): 0.00
D(E_F) (states/eV per cell): 9.70
Total energy (eV per atom): -4.49

Entry 3:
A plane-wave DFT calculation with PBE was carried out for Pm4Br3N2 after structural relaxation.

abc: 14.1609 3.5908 9.0301
angles: 90.00 101.62 90.00
With the nearest neighbours (Å) after each atom.
Space group C2/m (No. 12)
Inequivalent atoms, fractional coordinates:
Pm1 0.1544 0.0000 0.3979 [4 per cell]  3 N 2.40-2.48
Pm2 0.1645 0.5000 0.7760 [4 per cell]  2 N 2.42
Br1 0.0000 0.5000 0.5000 [2 per cell]  6 Pm 3.05-3.11
Br2 0.1310 0.0000 0.0318 [4 per cell]  4 Pm 3.04-3.26
N1 0.2367 0.0000 0.6570 [4 per cell]  5 Pm 2.40-2.48

Computed properties:
ΔE_f (raw) (eV/f.u.): -12.57
Magnetic moment (μB/atom): 0.00
D(E_F) (states/eV per cell): 8.78
Total energy (eV per atom): -5.92
ΔE to the lowest computed polymorph (meV per atom): 28

Entry 4:
A plane-wave DFT calculation with PBE was carried out for Pm4Br2N after structural relaxation.

abc: 4.7661 4.7661 18.7211
angles: 90.00 90.00 90.00
With the nearest neighbours (Å) after each atom.
Space group I4/mmm (No. 139)
Inequivalent atoms, fractional coordinates:
Pm1 0.0000 0.0000 0.1404 [4 per cell]  1 N 2.63
Pm2 0.0000 0.5000 0.0000 [4 per cell]  2 N 2.38
Br1 0.0000 0.0000 0.3022 [4 per cell]  1 Pm 3.03
N1 0.0000 0.0000 0.0000 [2 per cell]  6 Pm 2.38-2.63

Computed properties:
ΔE_f (raw) (eV/f.u.): -4.41
Magnetic moment (μB/atom): 0.01
D(E_F) (states/eV per cell): 18.50
Total energy (eV per atom): -5.01

Entry 5:
A plane-wave DFT calculation with PBE was carried out for PmPrBrN after structural relaxation.

abc: 3.7337 3.7337 22.1412
angles: 90.00 90.00 120.00
With the nearest neighbours (Å) after each atom.
Space group R3m (No. 160, hexagonal axes)
Inequivalent atoms, fractional coordinates:
Pm1 0.0000 0.0000 0.0000 [3 per cell]  3 N 2.46
Pr1 0.0000 0.0000 0.2130 [3 per cell]  3 N 2.62
Br1 0.0000 0.0000 0.4381 [3 per cell]  3 Pm 3.17, 3 Pr 3.22
N1 0.0000 0.0000 0.6135 [3 per cell]  3 Pm 2.46, 3 Pr 2.62

Computed properties:
ΔE_f (raw) (eV/f.u.): -5.56
Magnetic moment (μB/atom): 0.00
D(E_F) (states/eV per cell): 2.84
Total energy (eV per atom): -6.27

Entry 6:
A plane-wave DFT calculation with PBE was carried out for PmPr2Br2N2 after structural relaxation.

abc: 4.6335 4.6335 16.2904
angles: 90.00 90.00 90.00
With the nearest neighbours (Å) after each atom.
Space group I4/mmm (No. 139)
Inequivalent atoms, fractional coordinates:
Pm1 0.0000 0.0000 0.0000 [2 per cell]  4 N 2.32
Pr1 0.0000 0.0000 0.4076 [4 per cell]  4 N 2.76, 1 Pr 3.01
Br1 0.0000 0.0000 0.1837 [4 per cell]  1 Pm 2.99
N1 0.0000 0.5000 0.0000 [4 per cell]  2 Pm 2.32

Computed properties:
ΔE_f (raw) (eV/f.u.): -8.52
Magnetic moment (μB/atom): 0.14
D(E_F) (states/eV per cell): 3.69
Total energy (eV per atom): -6.12